First-principles (PBE) data for a geometry-optimized CrNi2Ru structure, as listed in Alexandria via LeMat-Bulk.

```
data_CrNi2Ru
_space_group_name_H-M_alt 'I 4/m m m'
_space_group_IT_number 139
_space_group_name_Hall '-I 4 2'
_cell_length_a 3.558
_cell_length_b 3.558
_cell_length_c 7.518
_cell_angle_alpha 90.00
_cell_angle_beta 90.00
_cell_angle_gamma 90.00
loop_
_atom_site_label
_atom_site_fract_x
_atom_site_fract_y
_atom_site_fract_z
_atom_site_occupancy
Cr1 0.000 0.000 0.000 1
Ni1 0.000 0.500 0.250 1
Ru1 0.000 0.000 0.500 1
```

First-principles (PBE) data for a geometry-optimized Th3Mn2Os7 structure, as listed in Alexandria via LeMat-Bulk.

```
data_Th3Mn2Os7
_space_group_name_H-M_alt 'C 1 2/m 1'
_space_group_IT_number 12
_cell_length_a 9.347
_cell_length_b 5.405
_cell_length_c 9.175
_cell_angle_alpha 90.00
_cell_angle_beta 109.89
_cell_angle_gamma 90.00
loop_
_space_group_symop_operation_xyz
'x,y,z'
'-x,-y,-z'
'-x,y,-z'
'x,-y,z'
'x+1/2,y+1/2,z'
'-x+1/2,-y+1/2,-z'
'-x+1/2,y+1/2,-z'
'x+1/2,-y+1/2,z'
loop_
_atom_site_label
_atom_site_fract_x
_atom_site_fract_y
_atom_site_fract_z
_atom_site_occupancy
Th1 0.000 0.000 0.000 1
Th2 0.141 0.000 0.423 1
Mn1 0.164 0.500 0.993 1
Os1 0.000 0.500 0.500 1
Os2 0.082 0.500 0.239 1
Os3 0.172 0.247 0.762 1
```

First-principles (PBE) data for a geometry-optimized Ca2AlHg structure, as listed in Alexandria via LeMat-Bulk.

```
data_Ca2AlHg
_space_group_name_H-M_alt 'P m m 2'
_space_group_IT_number 25
_cell_length_a 3.781
_cell_length_b 5.306
_cell_length_c 5.306
_cell_angle_alpha 90.00
_cell_angle_beta 90.00
_cell_angle_gamma 90.00
loop_
_space_group_symop_operation_xyz
'x,y,z'
'-x,-y,z'
'-x,y,z'
'x,-y,z'
loop_
_atom_site_label
_atom_site_fract_x
_atom_site_fract_y
_atom_site_fract_z
_atom_site_occupancy
Ca1 0.000 0.000 0.000 1
Ca2 0.000 0.500 0.498 1
Al1 0.500 0.000 0.501 1
Hg1 0.500 0.500 0.997 1
```

First-principles (PBE) data for a geometry-optimized Na3In2Au9 structure, as listed in Alexandria via LeMat-Bulk.

```
data_Na3In2Au9
_space_group_name_H-M_alt 'I m m m'
_space_group_IT_number 71
_space_group_name_Hall '-I 2 2'
_cell_length_a 4.612
_cell_length_b 9.919
_cell_length_c 13.583
_cell_angle_alpha 90.00
_cell_angle_beta 90.00
_cell_angle_gamma 90.00
loop_
_atom_site_label
_atom_site_fract_x
_atom_site_fract_y
_atom_site_fract_z
_atom_site_occupancy
Na1 0.000 0.000 0.000 1
Na2 0.000 0.000 0.281 1
In1 0.000 0.186 0.500 1
Au1 0.000 0.289 0.136 1
Au2 0.000 0.363 0.338 1
Au3 0.000 0.500 0.000 1
```

| no. | energy of formation from the pure elements (eV per atom) | magnetization (μB/cell) |
| --- | --- | --- |
| 1 | 0.050 | 2.51 |
| 2 | -0.175 | 10.40 |
| 3 | -0.361 | 0.00 |
| 4 | -0.207 | 0.00 |